# ScNiI3 PBE-GGA relaxed
data_ScNiI3
_chemical_formula_sum 'Sc1 Ni1 I3'
_cell_length_a 5.681
_cell_length_b 5.681
_cell_length_c 5.681
_cell_angle_alpha 90.00
_cell_angle_beta 90.00
_cell_angle_gamma 90.00
_space_group_name_H-M_alt 'P 1'
_space_group_IT_number 1
loop_
_space_group_symop_operation_xyz
'x,y,z'
loop_
_atom_site_label
_atom_site_type_symbol
_atom_site_fract_x
_atom_site_fract_y
_atom_site_fract_z
Sc1 Sc 0.000 0.000 0.000
Ni1 Ni 0.500 0.500 0.500
I1 I 0.000 0.000 0.500
I2 I 0.000 0.500 0.000
I3 I 0.500 0.000 0.000
# * final energy: -0.2428 Ry/atom
# * E_form (uncorrected): 0.049 eV per atom
# * total moment: 1.973 μB per formula unit

=====

# CrFeP PBE-GGA relaxed
data_CrFeP
_chemical_formula_sum 'Cr1 Fe1 P1'
_cell_length_a 3.748
_cell_length_b 3.748
_cell_length_c 3.748
_cell_angle_alpha 60.00
_cell_angle_beta 60.00
_cell_angle_gamma 60.00
_space_group_name_H-M_alt 'P 1'
_space_group_IT_number 1
loop_
_space_group_symop_operation_xyz
'x,y,z'
loop_
_atom_site_label
_atom_site_type_symbol
_atom_site_fract_x
_atom_site_fract_y
_atom_site_fract_z
Cr1 Cr 0.000 0.000 0.000
Fe1 Fe 0.250 0.250 0.250
P1 P 0.500 0.500 0.500
# * DFT formation energy: -0.3584 eV/atom
# * final energy: -0.6020 Ry/atom
# * total moment: 0.981 μB per formula unit

=====

# NdHo3Ni2 PBE-GGA relaxed
data_NdHo3Ni2
_chemical_formula_sum 'Nd2 Ho6 Ni4'
_cell_length_a 8.232
_cell_length_b 8.232
_cell_length_c 12.425
_cell_angle_alpha 127.31
_cell_angle_beta 127.31
_cell_angle_gamma 28.45
_space_group_name_H-M_alt 'P 1'
_space_group_IT_number 1
loop_
_space_group_symop_operation_xyz
'x,y,z'
loop_
_atom_site_label
_atom_site_type_symbol
_atom_site_fract_x
_atom_site_fract_y
_atom_site_fract_z
Nd1 Nd 0.134 0.134 0.242
Nd2 Nd 0.866 0.866 0.758
Ho1 Ho 0.151 0.151 0.703
Ho2 Ho 0.372 0.372 0.060
Ho3 Ho 0.422 0.422 0.570
Ho4 Ho 0.578 0.578 0.430
Ho5 Ho 0.628 0.628 0.940
Ho6 Ho 0.849 0.849 0.297
Ni1 Ni 0.233 0.233 0.545
Ni2 Ni 0.237 0.237 0.122
Ni3 Ni 0.763 0.763 0.878
Ni4 Ni 0.767 0.767 0.455
# * DFT formation energy: -0.2199 eV/atom
# * final energy: -0.3844 Ry/atom
# * energy relative to the lowest polymorph listed for this composition: 51 meV/atom
# * total moment: 0.000 μB per formula unit

=====

# BaInSe2 PBE-GGA relaxed
data_BaInSe2
_chemical_formula_sum 'Ba1 In1 Se2'
_cell_length_a 4.447
_cell_length_b 4.447
_cell_length_c 6.767
_cell_angle_alpha 90.00
_cell_angle_beta 90.00
_cell_angle_gamma 90.00
_space_group_name_H-M_alt 'P 1'
_space_group_IT_number 1
loop_
_space_group_symop_operation_xyz
'x,y,z'
loop_
_atom_site_label
_atom_site_type_symbol
_atom_site_fract_x
_atom_site_fract_y
_atom_site_fract_z
Ba1 Ba 0.000 0.000 0.000
In1 In 0.500 0.500 0.525
Se1 Se 0.000 0.000 0.486
Se2 Se 0.500 0.500 0.931
# * final energy: -0.2984 Ry/atom
# * E_form (uncorrected): -1.153 eV per atom
# * total moment: 0.000 μB per formula unit

=====

# Be2CoSi PBE-GGA relaxed
data_Be2CoSi
_chemical_formula_sum 'Be2 Co1 Si1'
_cell_length_a 7.687
_cell_length_b 7.687
_cell_length_c 7.687
_cell_angle_alpha 18.79
_cell_angle_beta 18.79
_cell_angle_gamma 18.79
_space_group_name_H-M_alt 'P 1'
_space_group_IT_number 1
loop_
_space_group_symop_operation_xyz
'x,y,z'
loop_
_atom_site_label
_atom_site_type_symbol
_atom_site_fract_x
_atom_site_fract_y
_atom_site_fract_z
Be1 Be 0.242 0.242 0.242
Be2 Be 0.758 0.758 0.758
Co1 Co 0.500 0.500 0.500
Si1 Si 0.000 0.000 0.000
# * final energy: -0.3580 Ry/atom
# * E_form (uncorrected): 0.125 eV per atom
# * total moment: 0.646 μB per formula unit

=====

# PIrAu2 PBE-GGA relaxed
data_PIrAu2
_chemical_formula_sum 'P1 Ir1 Au2'
_cell_length_a 3.579
_cell_length_b 3.579
_cell_length_c 7.605
_cell_angle_alpha 98.92
_cell_angle_beta 98.92
_cell_angle_gamma 47.71
_space_group_name_H-M_alt 'P 1'
_space_group_IT_number 1
loop_
_space_group_symop_operation_xyz
'x,y,z'
loop_
_atom_site_label
_atom_site_type_symbol
_atom_site_fract_x
_atom_site_fract_y
_atom_site_fract_z
P1 P 0.000 0.000 0.000
Ir1 Ir 0.325 0.325 0.156
Au1 Au 0.423 0.423 0.717
Au2 Au 0.673 0.673 0.431
# * DFT formation energy: -0.0255 eV/atom
# * final energy: -0.3845 Ry/atom
# * total moment: 0.000 μB per formula unit

=====

no.,ρ (Mg/m³)
1,4.4
2,6.2
3,8.0
4,5.1
5,4.2
6,14.4